A relaxed KAgIrSe2S crystal. Source: OQMD, functional PBE.

Calculated values
raw total energy	-4.25	eV per atom

Cell lengths 7.606, 7.606, 9.915 Å; angles 90.00, 90.00, 150.44 degrees
Each line ends with the local moment (μB).
Positions (direct):
Ag: 0.452 0.548 0.250  0.03
Ag: 0.548 0.452 0.750  0.03
Ir: 0.000 0.000 0.000  0.04
Ir: 0.000 0.000 0.500  0.04
K: 0.753 0.247 0.250  0.00
K: 0.247 0.753 0.750  0.00
S: 0.062 0.938 0.250  0.06
S: 0.938 0.062 0.750  0.06
Se: 0.387 0.613 0.014  0.02
Se: 0.387 0.613 0.486  0.02
Se: 0.613 0.387 0.514  0.02
Se: 0.613 0.387 0.986  0.02